Here is a relaxed structure of TbPmY2S6 from Alexandria via LeMat-Bulk. Energies are from PBE.

Cell and atoms, written as POSCAR:
```
TbPmY2S6
1.0
-5.847 -3.461 -1.617
0.284 -6.805 -1.547
-2.684 -4.818 4.934
S Y Tb Pm
6 2 1 1
direct
0.617 0.221 0.248
0.221 0.914 0.248
0.127 0.404 0.750
0.720 0.127 0.750
0.404 0.720 0.750
0.914 0.617 0.248
0.517 0.517 0.448
0.015 0.015 0.954
0.315 0.315 0.054
0.812 0.812 0.564
```

Summary:
The formation energy without anion corrections is -2.053 eV per atom. For the total magnetic moment, the calculation gives 0.00 Bohr magnetons per cell. The uncorrected energy comes out at -67.6 eV/f.u. Its space group is No. 146.